An optimized crystal structure of Sr3InSn. Source: Alexandria, functional PBE-GGA.

Lattice parameters (Å, degrees): 8.244 8.244 8.244 94.96 110.11 124.73
Atoms (fractional coordinates):
Sr: 0.249 0.005 0.254
Sr: 0.249 0.495 0.744
Sr: 0.736 0.498 0.738
Sr: 0.751 0.505 0.256
Sr: 0.751 0.995 0.746
Sr: 0.760 0.998 0.262
In: 0.087 0.500 0.086
In: 0.414 0.000 0.914
Sn: 0.117 0.000 0.617
Sn: 0.383 0.500 0.383

Values from the calculation:
Symmetry: Ima2, No. 46
Calculated volume in A^3/atom: 40.242
E above lowest polymorph in meV per atom: 0
N(E_F) in states/eV/atom: 0.73
Total DFT energy (no corrections) in eV/atom: -2.678
Formation energy from the elements in meV/atom: -321


An optimized crystal structure of SiWSeN2. Source: Alexandria, functional PBE-GGA.

Lattice parameters (Å, degrees): 3.604 3.604 4.937 90.00 90.00 90.00
Atoms (fractional coordinates):
Si: 0.000 0.000 0.000
W: 0.500 0.500 0.500
Se: 0.000 0.000 0.500
N: 0.000 0.500 0.000
N: 0.500 0.000 0.000

Values from the calculation:
Symmetry: P4/mmm, No. 123
Calculated volume in A^3/atom: 12.824
E above lowest polymorph in meV per atom: 626
N(E_F) in states/eV/atom: 0.52
Total DFT energy (no corrections) in eV/atom: -6.548


An optimized crystal structure of LaTl2Bi2. Source: Alexandria, functional PBE-GGA.

Lattice parameters (Å, degrees): 8.484 8.484 8.484 148.16 148.16 45.65
Atoms (fractional coordinates):
La: 0.000 0.000 0.000
Tl: 0.404 0.404 0.000
Tl: 0.596 0.596 0.000
Bi: 0.250 0.750 0.500
Bi: 0.750 0.250 0.500

Values from the calculation:
Symmetry: I4/mmm, No. 139
Calculated volume in A^3/atom: 33.877
E above lowest polymorph in meV per atom: 367
N(E_F) in states/eV/atom: 0.76
Total DFT energy (no corrections) in eV/atom: -3.549
Formation energy from the elements in meV/atom: -65


An optimized crystal structure of TbZr2H8. Source: Alexandria, functional PBE-GGA.

Lattice parameters (Å, degrees): 5.908 5.908 5.908 148.12 122.60 67.18
Atoms (fractional coordinates):
Tb: 0.000 0.000 0.000
Zr: 0.327 0.327 0.000
Zr: 0.673 0.673 0.000
H: 0.101 0.835 0.266
H: 0.177 0.677 0.500
H: 0.283 0.500 0.783
H: 0.430 0.165 0.266
H: 0.570 0.835 0.734
H: 0.717 0.500 0.217
H: 0.823 0.323 0.500
H: 0.899 0.165 0.734

Values from the calculation:
Symmetry: Immm, No. 71
Calculated volume in A^3/atom: 8.241
N(E_F) in states/eV/atom: 0.20
Total DFT energy (no corrections) in eV/atom: -4.843


An optimized crystal structure of Tl6Hg8Bi. Source: Alexandria, functional PBE-GGA.

Lattice parameters (Å, degrees): 9.082 9.082 6.257 90.00 90.00 120.00
Atoms (fractional coordinates):
Tl: 0.101 0.657 0.193
Tl: 0.343 0.445 0.193
Tl: 0.445 0.101 0.807
Tl: 0.555 0.899 0.193
Tl: 0.657 0.555 0.807
Tl: 0.899 0.343 0.807
Hg: 0.060 0.770 0.670
Hg: 0.230 0.290 0.670
Hg: 0.290 0.060 0.330
Hg: 0.333 0.667 0.713
Hg: 0.667 0.333 0.287
Hg: 0.710 0.940 0.670
Hg: 0.770 0.710 0.330
Hg: 0.940 0.230 0.330
Bi: 0.000 0.000 0.000

Values from the calculation:
Symmetry: P-3, No. 147
Calculated volume in A^3/atom: 29.798
N(E_F) in states/eV/atom: 0.46
Total DFT energy (no corrections) in eV/atom: -1.361
Formation energy from the elements in meV/atom: 5


An optimized crystal structure of TmCoC. Source: Alexandria, functional PBE-GGA.

Lattice parameters (Å, degrees): 3.598 3.598 6.744 90.00 90.00 90.00
Atoms (fractional coordinates):
Tm: 0.000 0.000 0.250
Tm: 0.000 0.000 0.750
Co: 0.500 0.500 0.000
Co: 0.500 0.500 0.500
C: 0.000 0.500 0.000
C: 0.500 0.000 0.500

Values from the calculation:
Symmetry: P4_2/mmc, No. 131
Calculated volume in A^3/atom: 14.555
E above lowest polymorph in meV per atom: 0
N(E_F) in states/eV/atom: 0.61
Total DFT energy (no corrections) in eV/atom: -7.292
Formation energy from the elements in meV/atom: -358


An optimized crystal structure of SrPr3Rh. Source: Alexandria, functional PBE-GGA.

Lattice parameters (Å, degrees): 8.055 8.055 6.413 90.00 90.00 120.00
Atoms (fractional coordinates):
Sr: 0.333 0.667 0.250
Sr: 0.667 0.333 0.750
Pr: 0.171 0.341 0.750
Pr: 0.171 0.829 0.750
Pr: 0.341 0.171 0.250
Pr: 0.659 0.829 0.750
Pr: 0.829 0.171 0.250
Pr: 0.829 0.659 0.250
Rh: 0.000 0.000 0.000
Rh: 0.000 0.000 0.500

Values from the calculation:
Symmetry: P6_3/mmc, No. 194
Calculated volume in A^3/atom: 36.035
E above lowest polymorph in meV per atom: 0
N(E_F) in states/eV/atom: 1.15
Total DFT energy (no corrections) in eV/atom: -4.903
Formation energy from the elements in meV/atom: -228


An optimized crystal structure of SrBeCd2. Source: Alexandria, functional PBE-GGA.

Lattice parameters (Å, degrees): 8.978 8.978 8.978 144.94 144.94 50.42
Atoms (fractional coordinates):
Sr: 0.000 0.000 0.000
Sr: 0.750 0.250 0.500
Be: 0.250 0.750 0.500
Be: 0.500 0.500 0.000
Cd: 0.374 0.625 0.249
Cd: 0.375 0.624 0.749
Cd: 0.376 0.125 0.751
Cd: 0.875 0.626 0.251

Values from the calculation:
Symmetry: I-42d, No. 122
Calculated volume in A^3/atom: 29.702
N(E_F) in states/eV/atom: 0.37
Total DFT energy (no corrections) in eV/atom: -1.612
Formation energy from the elements in meV/atom: 198


An optimized crystal structure of La2GeRhC. Source: Alexandria, functional PBE-GGA.

Lattice parameters (Å, degrees): 5.353 5.353 3.915 90.00 90.00 90.00
Atoms (fractional coordinates):
La: 0.000 0.500 0.000
La: 0.500 0.000 0.000
Ge: 0.000 0.000 0.500
Rh: 0.500 0.500 0.500
C: 0.500 0.500 0.000

Values from the calculation:
Symmetry: P4/mmm, No. 123
Calculated volume in A^3/atom: 22.434
N(E_F) in states/eV/atom: 1.03
Total DFT energy (no corrections) in eV/atom: -6.662
Formation energy from the elements in meV/atom: -453


An optimized crystal structure of Ca2ScTa. Source: Alexandria, functional PBE-GGA.

Lattice parameters (Å, degrees): 3.138 3.138 11.274 90.00 90.00 107.00
Atoms (fractional coordinates):
Ca: 0.000 0.000 0.232
Ca: 0.000 0.000 0.768
Sc: 0.500 0.500 0.500
Ta: 0.500 0.500 0.000

Values from the calculation:
Symmetry: Cmmm, No. 65
Calculated volume in A^3/atom: 26.545
E above lowest polymorph in meV per atom: 246
N(E_F) in states/eV/atom: 1.37
Total DFT energy (no corrections) in eV/atom: -4.941
Formation energy from the elements in meV/atom: 606


An optimized crystal structure of PmGa4NiAu2. Source: Alexandria, functional PBE-GGA.

Lattice parameters (Å, degrees): 9.162 9.162 9.162 27.58 27.58 27.58
Atoms (fractional coordinates):
Pm: 0.000 0.000 0.000
Ga: 0.136 0.136 0.136
Ga: 0.401 0.401 0.401
Ga: 0.599 0.599 0.599
Ga: 0.864 0.864 0.864
Ni: 0.500 0.500 0.500
Au: 0.244 0.244 0.244
Au: 0.756 0.756 0.756

Values from the calculation:
Symmetry: R-3m, No. 166
Calculated volume in A^3/atom: 18.191
N(E_F) in states/eV/atom: 0.41
Total DFT energy (no corrections) in eV/atom: -4.043
Formation energy from the elements in meV/atom: -394


An optimized crystal structure of Mg8TlRh2. Source: Alexandria, functional PBE-GGA.

Lattice parameters (Å, degrees): 4.723 6.582 8.088 113.40 105.41 92.07
Atoms (fractional coordinates):
Mg: 0.000 0.000 0.000
Mg: 0.025 0.482 0.063
Mg: 0.218 0.357 0.413
Mg: 0.380 0.881 0.657
Mg: 0.453 0.589 0.889
Mg: 0.620 0.072 0.248
Mg: 0.650 0.657 0.310
Mg: 0.924 0.144 0.655
Tl: 0.846 0.581 0.654
Rh: 0.150 0.914 0.328
Rh: 0.479 0.243 0.986

Values from the calculation:
Symmetry: P1, No. 1
Calculated volume in A^3/atom: 19.967
E above lowest polymorph in meV per atom: 13
N(E_F) in states/eV/atom: 0.39
Total DFT energy (no corrections) in eV/atom: -2.918
Formation energy from the elements in meV/atom: -207


An optimized crystal structure of Y3HCS. Source: Alexandria, functional PBE-GGA.

Lattice parameters (Å, degrees): 7.704 3.655 7.956 90.00 102.61 90.00
Atoms (fractional coordinates):
Y: 0.056 0.250 0.338
Y: 0.269 0.250 0.975
Y: 0.376 0.750 0.640
Y: 0.624 0.250 0.360
Y: 0.731 0.750 0.025
Y: 0.944 0.750 0.662
H: 0.423 0.750 0.924
H: 0.577 0.250 0.076
C: 0.168 0.250 0.661
C: 0.832 0.750 0.339
S: 0.328 0.750 0.280
S: 0.672 0.250 0.720

Values from the calculation:
Symmetry: P2_1/m, No. 11
Calculated volume in A^3/atom: 18.220
N(E_F) in states/eV/atom: 0.46
Total DFT energy (no corrections) in eV/atom: -7.000


An optimized crystal structure of Sm6Y2Tm5. Source: Alexandria, functional PBE-GGA.

Lattice parameters (Å, degrees): 11.671 20.266 3.595 90.00 90.00 90.00
Atoms (fractional coordinates):
Sm: 0.058 0.080 0.000
Sm: 0.082 0.366 0.000
Sm: 0.173 0.631 0.500
Sm: 0.327 0.131 0.500
Sm: 0.418 0.866 0.000
Sm: 0.442 0.580 0.000
Sm: 0.558 0.420 0.000
Sm: 0.582 0.134 0.000
Sm: 0.673 0.869 0.500
Sm: 0.827 0.369 0.500
Sm: 0.918 0.634 0.000
Sm: 0.942 0.920 0.000
Y: 0.163 0.788 0.000
Y: 0.337 0.288 0.000
Y: 0.663 0.712 0.000
Y: 0.837 0.212 0.000
Tm: 0.000 0.500 0.500
Tm: 0.096 0.224 0.500
Tm: 0.199 0.946 0.500
Tm: 0.301 0.446 0.500
Tm: 0.404 0.724 0.500
Tm: 0.500 0.000 0.500
Tm: 0.596 0.276 0.500
Tm: 0.699 0.554 0.500
Tm: 0.801 0.054 0.500
Tm: 0.904 0.776 0.500

Values from the calculation:
Symmetry: Pbam, No. 55
Calculated volume in A^3/atom: 32.707
N(E_F) in states/eV/atom: 1.20
Total DFT energy (no corrections) in eV/atom: -4.791
Formation energy from the elements in meV/atom: 101


An optimized crystal structure of ZrSbCl. Source: Alexandria, functional PBE-GGA.

Lattice parameters (Å, degrees): 3.337 3.337 8.468 90.00 90.00 120.00
Atoms (fractional coordinates):
Zr: 0.000 0.000 0.000
Sb: 0.333 0.667 0.715
Cl: 0.667 0.333 0.210

Values from the calculation:
Symmetry: P3m1, No. 156
Calculated volume in A^3/atom: 27.212
E above lowest polymorph in meV per atom: 0
N(E_F) in states/eV/atom: 0.60
Total DFT energy (no corrections) in eV/atom: -5.757


An optimized crystal structure of LiBiRh3. Source: Alexandria, functional PBE-GGA.

Lattice parameters (Å, degrees): 4.286 4.286 4.286 90.00 90.00 90.00
Atoms (fractional coordinates):
Li: 0.000 0.000 0.000
Bi: 0.500 0.500 0.500
Rh: 0.000 0.000 0.500
Rh: 0.000 0.500 0.000
Rh: 0.500 0.000 0.000

Values from the calculation:
Symmetry: Pm-3m, No. 221
Calculated volume in A^3/atom: 15.748
E above lowest polymorph in meV per atom: 0
N(E_F) in states/eV/atom: 0.94
Total DFT energy (no corrections) in eV/atom: -5.206
Formation energy from the elements in meV/atom: 364


An optimized crystal structure of TaTlCr2. Source: Alexandria, functional PBE-GGA.

Lattice parameters (Å, degrees): 5.102 5.102 5.102 141.70 127.17 67.11
Atoms (fractional coordinates):
Ta: 0.000 0.000 0.000
Tl: 0.500 0.500 0.000
Cr: 0.236 0.736 0.500
Cr: 0.764 0.264 0.500

Values from the calculation:
Symmetry: Immm, No. 71
Calculated volume in A^3/atom: 16.151
E above lowest polymorph in meV per atom: 277
N(E_F) in states/eV/atom: 0.99
Total DFT energy (no corrections) in eV/atom: -7.709
Formation energy from the elements in meV/atom: 658


An optimized crystal structure of NpTl5Se4. Source: Alexandria, functional PBE-GGA.

Lattice parameters (Å, degrees): 9.743 9.743 8.670 111.84 111.84 25.56
Atoms (fractional coordinates):
Np: 0.000 0.000 0.000
Tl: 0.000 0.000 0.500
Tl: 0.304 0.304 0.686
Tl: 0.350 0.350 0.212
Tl: 0.650 0.650 0.788
Tl: 0.696 0.696 0.314
Se: 0.159 0.159 0.045
Se: 0.471 0.471 0.759
Se: 0.529 0.529 0.241
Se: 0.841 0.841 0.955

Values from the calculation:
Symmetry: C2/m, No. 12
Calculated volume in A^3/atom: 32.820
N(E_F) in states/eV/atom: 0.85
Total DFT energy (no corrections) in eV/atom: -4.444


An optimized crystal structure of Ho3TeSe. Source: Alexandria, functional PBE-GGA.

Lattice parameters (Å, degrees): 6.972 3.998 10.896 90.00 99.85 90.00
Atoms (fractional coordinates):
Ho: 0.175 0.250 0.437
Ho: 0.284 0.750 0.740
Ho: 0.291 0.750 0.062
Ho: 0.709 0.250 0.938
Ho: 0.716 0.250 0.260
Ho: 0.825 0.750 0.563
Te: 0.450 0.750 0.348
Te: 0.550 0.250 0.652
Se: 0.040 0.250 0.150
Se: 0.960 0.750 0.850

Values from the calculation:
Symmetry: P2_1/m, No. 11
Calculated volume in A^3/atom: 29.924
N(E_F) in states/eV/atom: 0.93
Total DFT energy (no corrections) in eV/atom: -5.064


An optimized crystal structure of CuSn2Ir. Source: Alexandria, functional PBE-GGA.

Lattice parameters (Å, degrees): 9.234 9.234 9.234 20.39 20.39 20.39
Atoms (fractional coordinates):
Cu: 0.000 0.000 0.000
Sn: 0.093 0.093 0.093
Sn: 0.907 0.907 0.907
Ir: 0.500 0.500 0.500

Values from the calculation:
Symmetry: R-3m, No. 166
Calculated volume in A^3/atom: 20.905
E above lowest polymorph in meV per atom: 98
N(E_F) in states/eV/atom: 0.52
Total DFT energy (no corrections) in eV/atom: -5.038
Formation energy from the elements in meV/atom: 203